Record 1
Compound: Tb6Er3Tm
Source: Alexandria via LeMat-Bulk
Functional: PBE
Structure: optimized geometry

Values from the calculation:
Total DFT energy (no corrections) ... -0.1634 Ha/atom
Formation energy ... 0.1479 eV per atom
Relative energy among the computed polymorphs ... 0.022 eV/atom

```
data_Tb6Er3Tm
_space_group_name_H-M_alt 'C m c 21'
_space_group_IT_number 36
_cell_length_a 10.9261
_cell_length_b 18.8878
_cell_length_c 6.1503
_cell_angle_alpha 90.00
_cell_angle_beta 90.00
_cell_angle_gamma 90.00
loop_
_space_group_symop_operation_xyz
'x,y,z'
'-x,-y,z+1/2'
'-x,y,z'
'x,-y,z+1/2'
'x+1/2,y+1/2,z'
'-x+1/2,-y+1/2,z+1/2'
'-x+1/2,y+1/2,z'
'x+1/2,-y+1/2,z+1/2'
loop_
_atom_site_label
_atom_site_type_symbol
_atom_site_fract_x
_atom_site_fract_y
_atom_site_fract_z
Tb1 Tb 0.0000 0.0461 0.0000
Tb2 Tb 0.0000 0.2798 0.7258
Tb3 Tb 0.1651 0.4543 0.6171
Tb4 Tb 0.2420 0.2898 0.4365
Er1 Er 0.0000 0.3892 0.1508
Er2 Er 0.1683 0.1095 0.5389
Tm1 Tm 0.0000 0.2050 0.2179
```

Record 2
Compound: K2ScCo
Source: Alexandria via LeMat-Bulk
Functional: PBE
Structure: optimized geometry

Values from the calculation:
Total DFT energy (no corrections) ... -0.1080 Ha/atom
Formation energy ... 0.9701 eV per atom
Relative energy among the computed polymorphs ... 0.610 eV/atom

```
data_K2ScCo
_space_group_name_H-M_alt 'P 1 2/m 1'
_space_group_IT_number 10
_cell_length_a 3.6433
_cell_length_b 6.3259
_cell_length_c 4.9429
_cell_angle_alpha 90.00
_cell_angle_beta 95.47
_cell_angle_gamma 90.00
loop_
_space_group_symop_operation_xyz
'x,y,z'
'-x,-y,-z'
'-x,y,-z'
'x,-y,z'
loop_
_atom_site_label
_atom_site_type_symbol
_atom_site_fract_x
_atom_site_fract_y
_atom_site_fract_z
K1 K 0.2285 0.0000 0.2650
Sc1 Sc 0.5000 0.5000 0.0000
Co1 Co 0.0000 0.5000 0.5000
```

Record 3
Compound: KZr4Ag
Source: Alexandria via LeMat-Bulk
Functional: PBE
Structure: optimized geometry

Values from the calculation:
Total DFT energy (no corrections) ... -0.2065 Ha/atom
Formation energy ... 0.7380 eV per atom

```
data_KZr4Ag
_space_group_name_H-M_alt 'F -4 3 m'
_space_group_IT_number 216
_space_group_name_Hall 'F -4 2 3'
_cell_length_a 8.4917
_cell_length_b 8.4917
_cell_length_c 8.4917
_cell_angle_alpha 90.00
_cell_angle_beta 90.00
_cell_angle_gamma 90.00
loop_
_atom_site_label
_atom_site_type_symbol
_atom_site_fract_x
_atom_site_fract_y
_atom_site_fract_z
K1 K 0.0000 0.0000 0.0000
Zr1 Zr 0.1229 0.1229 0.6229
Ag1 Ag 0.2500 0.2500 0.2500
```

Record 4
Compound: Sn2HIrOs
Source: Alexandria via LeMat-Bulk
Functional: PBE
Structure: optimized geometry

Values from the calculation:
Total DFT energy (no corrections) ... -0.2165 Ha/atom

```
data_Sn2HIrOs
_space_group_name_H-M_alt 'P 4/m m m'
_space_group_IT_number 123
_space_group_name_Hall '-P 4 2'
_cell_length_a 4.6457
_cell_length_b 4.6457
_cell_length_c 3.4736
_cell_angle_alpha 90.00
_cell_angle_beta 90.00
_cell_angle_gamma 90.00
loop_
_atom_site_label
_atom_site_type_symbol
_atom_site_fract_x
_atom_site_fract_y
_atom_site_fract_z
Sn1 Sn 0.0000 0.5000 0.0000
H1 H 0.0000 0.0000 0.0000
Ir1 Ir 0.0000 0.0000 0.5000
Os1 Os 0.5000 0.5000 0.5000
```

Record 5
Compound: Ac2LaPrNd2
Source: Alexandria via LeMat-Bulk
Functional: PBE
Structure: optimized geometry

Values from the calculation:
Total DFT energy (no corrections) ... -0.1661 Ha/atom
Formation energy ... 0.0558 eV per atom

```
data_Ac2LaPrNd2
_space_group_name_H-M_alt 'P m m a'
_space_group_IT_number 51
_cell_length_a 7.4586
_cell_length_b 6.0242
_cell_length_c 10.3740
_cell_angle_alpha 90.00
_cell_angle_beta 90.00
_cell_angle_gamma 90.00
loop_
_space_group_symop_operation_xyz
'x,y,z'
'-x,-y,-z'
'-x+1/2,-y,z'
'x+1/2,y,-z'
'x+1/2,-y,-z'
'-x+1/2,y,z'
'-x,y,-z'
'x,-y,z'
loop_
_atom_site_label
_atom_site_type_symbol
_atom_site_fract_x
_atom_site_fract_y
_atom_site_fract_z
Ac1 Ac 0.0000 0.0000 0.0000
Ac2 Ac 0.2500 0.5000 0.1697
La1 La 0.0000 0.5000 0.5000
Pr1 Pr 0.2500 0.0000 0.6656
Nd1 Nd 0.2500 0.0000 0.3423
Nd2 Nd 0.2500 0.5000 0.8254
```

Record 6
Compound: SrInCu2Sn
Source: Alexandria via LeMat-Bulk
Functional: PBE
Structure: optimized geometry

Values from the calculation:
Total DFT energy (no corrections) ... -0.1048 Ha/atom
Formation energy ... 0.4707 eV per atom

```
data_SrInCu2Sn
_space_group_name_H-M_alt 'P 4/m m m'
_space_group_IT_number 123
_space_group_name_Hall '-P 4 2'
_cell_length_a 4.9353
_cell_length_b 4.9353
_cell_length_c 6.0471
_cell_angle_alpha 90.00
_cell_angle_beta 90.00
_cell_angle_gamma 90.00
loop_
_atom_site_label
_atom_site_type_symbol
_atom_site_fract_x
_atom_site_fract_y
_atom_site_fract_z
Sr1 Sr 0.0000 0.0000 0.0000
In1 In 0.0000 0.0000 0.5000
Cu1 Cu 0.0000 0.5000 0.5000
Sn1 Sn 0.5000 0.5000 0.0000
```

Computed size of the total moment (μB/cell) in order:
0.000; 0.327; 0.000; 0.224; 0.000; 0.000